Material: Dy6Te3HC2
Method: DFT, PBE
State: optimized geometry

Cell lengths 9.0723, 9.0723, 8.2685 Å; angles 106.08, 106.08, 24.68 degrees
With the nearest neighbours (Å) after each atom.
Element x y z (fractional)
Dy (0.0257, 0.0257, 0.2448)  1 C 2.42
Dy (0.3198, 0.3198, 0.4503)  3 C 2.58-2.60
Dy (0.3321, 0.3321, 0.8643)  2 C 2.54
Dy (0.6679, 0.6679, 0.1357)  2 C 2.54
Dy (0.6802, 0.6802, 0.5497)  3 C 2.58-2.60
Dy (0.9743, 0.9743, 0.7552)  1 C 2.42
Te (0.1587, 0.1587, 0.8347)  6 Dy 3.01-3.16
Te (0.5000, 0.5000, 0.5000)  6 Dy 2.99-3.10
Te (0.8413, 0.8413, 0.1653)  6 Dy 3.01-3.16
H (0.5000, 0.5000, 0.0000)  6 Dy 2.75-2.87
C (0.1683, 0.1683, 0.3341)  6 Dy 2.42-2.60
C (0.8317, 0.8317, 0.6659)  6 Dy 2.42-2.60

**Space group**: No. 12
**D(E_F)**: 5.36 states/eV/f.u.
**E**: -68.72 eV/cell